An optimized crystal structure of Nd2DyZr. Source: Alexandria, functional PBE.

magnetic moment: 0.00 μB per atom
distance to the lowest polymorph of the same formula: 0 kJ/mol of formula units
calculated formation energy: 0.127 eV per atom
space group: P4/mmm (123)

Geometry as POSCAR:
```
Nd2DyZr
1.0
4.9758 0.0000 0.0000
0.0000 4.9758 0.0000
0.0000 0.0000 4.9112
Nd Dy Zr
2 1 1
Direct
0.0000 0.5000 0.0000
0.5000 0.0000 0.0000
0.0000 0.0000 0.5000
0.5000 0.5000 0.5000
```

An optimized crystal structure of MnMo3Pb. Source: Alexandria, functional PBE.

magnetic moment: 0.00 μB per atom
calculated formation energy: 1.064 eV per atom
space group: Pm-3m (221)

Geometry as POSCAR:
```
MnMo3Pb
1.0
4.5417 0.0000 0.0000
0.0000 4.5417 0.0000
0.0000 0.0000 4.5417
Mn Mo Pb
1 3 1
Direct
0.0000 0.0000 0.0000
0.0000 0.0000 0.5000
0.0000 0.5000 0.0000
0.5000 0.0000 0.0000
0.5000 0.5000 0.5000
```

An optimized crystal structure of AlHgRu. Source: Alexandria, functional PBE.

magnetic moment: 0.00 μB per atom
distance to the lowest polymorph of the same formula: 0 kJ/mol of formula units
calculated formation energy: -0.055 eV per atom
space group: I4mm (107)

Geometry as POSCAR:
```
AlHgRu
1.0
-1.5900 1.5900 4.9610
1.5900 -1.5900 4.9610
1.5900 1.5900 -4.9610
Al Hg Ru
1 1 1
Direct
0.0000 0.0000 0.0000
0.3006 0.3006 0.0000
0.6077 0.6077 0.0000
```

An optimized crystal structure of AlHg2P. Source: Alexandria, functional PBE.

magnetic moment: 0.00 μB per atom
distance to the lowest polymorph of the same formula: 194 kJ/mol of formula units
calculated formation energy: 0.455 eV per atom
space group: P4/mmm (123)

Geometry as POSCAR:
```
AlHg2P
1.0
3.1181 0.0000 0.0000
0.0000 3.1181 0.0000
0.0000 0.0000 8.4167
Al Hg P
1 2 1
Direct
0.0000 0.0000 0.0000
0.5000 0.5000 0.2454
0.5000 0.5000 0.7546
0.0000 0.0000 0.5000
```

An optimized crystal structure of Ge3RuBr. Source: Alexandria, functional PBE.

magnetic moment: 0.50 μB per atom
formation energy from raw total energies: 1556 meV per atom
distance to the lowest polymorph of the same formula: 760 kJ/mol of formula units
space group: Pm-3m (221)

Geometry as POSCAR:
```
Ge3RuBr
1.0
5.1005 0.0000 0.0000
0.0000 5.1005 0.0000
0.0000 0.0000 5.1005
Ge Ru Br
3 1 1
Direct
0.0000 0.0000 0.5000
0.0000 0.5000 0.0000
0.5000 0.0000 0.0000
0.5000 0.5000 0.5000
0.0000 0.0000 0.0000
```

An optimized crystal structure of LiCdInAs. Source: Alexandria, functional PBE.

magnetic moment: 0.00 μB per atom
calculated formation energy: -0.094 eV per atom
space group: F-43m (216)

Geometry as POSCAR:
```
LiCdInAs
1.0
0.0000 3.5285 3.5285
3.5285 0.0000 3.5285
3.5285 3.5285 0.0000
Li Cd In As
1 1 1 1
Direct
0.0000 0.0000 0.0000
0.5000 0.5000 0.5000
0.7500 0.7500 0.7500
0.2500 0.2500 0.2500
```

An optimized crystal structure of PmSm2YTl2. Source: Alexandria, functional PBE.

magnetic moment: 0.00 μB per atom
calculated formation energy: -0.282 eV per atom
space group: Pmc2_1 (26)

Geometry as POSCAR:
```
PmSm2YTl2
1.0
5.2027 0.0000 0.0000
0.0000 10.1734 0.0000
0.0000 0.0000 6.8766
Pm Sm Y Tl
2 4 2 4
Direct
0.0000 0.0418 0.0000
0.0000 0.9582 0.5000
0.0000 0.3174 0.3660
0.0000 0.6826 0.8660
0.5000 0.4565 0.0880
0.5000 0.5435 0.5880
0.5000 0.1866 0.7210
0.5000 0.8134 0.2210
0.0000 0.3597 0.8337
0.0000 0.6403 0.3337
0.5000 0.1325 0.2585
0.5000 0.8675 0.7585
```

An optimized crystal structure of BeHAu2. Source: Alexandria, functional PBE.

magnetic moment: 0.05 μB per atom
distance to the lowest polymorph of the same formula: 70 kJ/mol of formula units
space group: Fm-3m (225)

Geometry as POSCAR:
```
BeHAu2
1.0
0.0000 2.9221 2.9221
2.9221 0.0000 2.9221
2.9221 2.9221 0.0000
Be H Au
1 1 2
Direct
0.0000 0.0000 0.0000
0.5000 0.5000 0.5000
0.2500 0.2500 0.2500
0.7500 0.7500 0.7500
```

An optimized crystal structure of NaBrNF2. Source: Alexandria, functional PBE.

magnetic moment: 0.00 μB per atom
formation energy from raw total energies: -246 meV per atom
distance to the lowest polymorph of the same formula: 0 kJ/mol of formula units
space group: P4/mmm (123)

Geometry as POSCAR:
```
NaBrNF2
1.0
4.7521 0.0000 0.0000
0.0000 4.7521 0.0000
0.0000 0.0000 3.6869
Na Br N F
1 1 1 2
Direct
0.0000 0.0000 0.0000
0.5000 0.5000 0.5000
0.5000 0.5000 0.0000
0.0000 0.5000 0.5000
0.5000 0.0000 0.5000
```

An optimized crystal structure of Pm2Ni3Ge4Ir. Source: Alexandria, functional PBE.

magnetic moment: 0.00 μB per atom
calculated formation energy: -0.720 eV per atom
space group: P-4m2 (115)

Geometry as POSCAR:
```
Pm2Ni3Ge4Ir
1.0
4.1372 0.0000 0.0000
0.0000 4.1372 0.0000
0.0000 0.0000 9.9441
Pm Ni Ge Ir
2 3 4 1
Direct
0.0000 0.5000 0.2430
0.5000 0.0000 0.7570
0.0000 0.5000 0.8772
0.5000 0.0000 0.1228
0.5000 0.5000 0.5000
0.0000 0.0000 0.0000
0.0000 0.5000 0.6386
0.5000 0.0000 0.3614
0.5000 0.5000 0.0000
0.0000 0.0000 0.5000
```

An optimized crystal structure of Na3Li4Hg2. Source: Alexandria, functional PBE.

magnetic moment: 0.00 μB per atom
calculated formation energy: -0.156 eV per atom
space group: C2/m (12)

Geometry as POSCAR:
```
Na3Li4Hg2
1.0
4.2540 -2.4527 0.0000
4.2540 2.4527 0.0000
-0.0049 0.0000 9.5305
Na Li Hg
3 4 2
Direct
0.0000 0.0000 0.0000
0.3335 0.3335 0.4297
0.6665 0.6665 0.5703
0.0005 0.0005 0.3050
0.9995 0.9995 0.6950
0.3337 0.3337 0.1111
0.6663 0.6663 0.8889
0.3329 0.3329 0.7872
0.6671 0.6671 0.2128
```

An optimized crystal structure of Zr3ScSb. Source: Alexandria, functional PBE.

magnetic moment: 0.12 μB per atom
formation energy from raw total energies: 878 meV per atom
distance to the lowest polymorph of the same formula: 165 kJ/mol of formula units
space group: Pm-3m (221)

Geometry as POSCAR:
```
Zr3ScSb
1.0
5.0156 0.0000 0.0000
0.0000 5.0156 0.0000
0.0000 0.0000 5.0156
Zr Sc Sb
3 1 1
Direct
0.0000 0.0000 0.5000
0.0000 0.5000 0.0000
0.5000 0.0000 0.0000
0.0000 0.0000 0.0000
0.5000 0.5000 0.5000
```

An optimized crystal structure of TlGa2Re. Source: Alexandria, functional PBE.

magnetic moment: 0.00 μB per atom
distance to the lowest polymorph of the same formula: 38 kJ/mol of formula units
calculated formation energy: 0.796 eV per atom
space group: Fm-3m (225)

Geometry as POSCAR:
```
TlGa2Re
1.0
0.0000 3.3161 3.3161
3.3161 0.0000 3.3161
3.3161 3.3161 0.0000
Tl Ga Re
1 2 1
Direct
0.0000 0.0000 0.0000
0.2500 0.2500 0.2500
0.7500 0.7500 0.7500
0.5000 0.5000 0.5000
```

An optimized crystal structure of CuPb2Au. Source: Alexandria, functional PBE.

magnetic moment: 0.00 μB per atom
distance to the lowest polymorph of the same formula: 116 kJ/mol of formula units
calculated formation energy: 0.338 eV per atom
space group: F-43m (216)

Geometry as POSCAR:
```
CuPb2Au
1.0
0.0000 3.6035 3.6035
3.6035 0.0000 3.6035
3.6035 3.6035 0.0000
Cu Pb Au
1 2 1
Direct
0.0000 0.0000 0.0000
0.5000 0.5000 0.5000
0.7500 0.7500 0.7500
0.2500 0.2500 0.2500
```

An optimized crystal structure of Hf2ReTePd. Source: Alexandria, functional PBE.

magnetic moment: 0.00 μB per atom
formation energy from raw total energies: 630 meV per atom
space group: P4/mmm (123)

Geometry as POSCAR:
```
Hf2ReTePd
1.0
5.0020 0.0000 0.0000
0.0000 5.0020 0.0000
0.0000 0.0000 4.9510
Hf Re Te Pd
2 1 1 1
Direct
0.0000 0.5000 0.0000
0.5000 0.0000 0.0000
0.0000 0.0000 0.0000
0.5000 0.5000 0.5000
0.0000 0.0000 0.5000
```

An optimized crystal structure of BaPbN2O. Source: Alexandria, functional PBE.

magnetic moment: 0.42 μB per atom
formation energy from raw total energies: 194 meV per atom
space group: P4/mmm (123)

Geometry as POSCAR:
```
BaPbN2O
1.0
4.5291 0.0000 0.0000
0.0000 4.5291 0.0000
0.0000 0.0000 4.5173
Ba Pb N O
1 1 2 1
Direct
0.0000 0.0000 0.0000
0.5000 0.5000 0.5000
0.0000 0.5000 0.5000
0.5000 0.0000 0.5000
0.5000 0.5000 0.0000
```

An optimized crystal structure of DyNpSb. Source: Alexandria, functional PBE.

magnetic moment: 1.43 μB per atom
formation energy from raw total energies: -513 meV per atom
space group: P4/nmm (129)

Geometry as POSCAR:
```
DyNpSb
1.0
4.2418 0.0000 0.0000
0.0000 4.2418 0.0000
0.0000 0.0000 8.8151
Dy Np Sb
2 2 2
Direct
0.2500 0.2500 0.1399
0.7500 0.7500 0.8601
0.2500 0.7500 0.5000
0.7500 0.2500 0.5000
0.2500 0.2500 0.7832
0.7500 0.7500 0.2168
```

An optimized crystal structure of La4ScCo. Source: Alexandria, functional PBE.

magnetic moment: 0.25 μB per atom
calculated formation energy: 0.731 eV per atom
space group: F-43m (216)

Geometry as POSCAR:
```
La4ScCo
1.0
0.0000 4.5349 4.5349
4.5349 0.0000 4.5349
4.5349 4.5349 0.0000
La Sc Co
4 1 1
Direct
0.3756 0.3756 0.3756
0.3756 0.3756 0.8733
0.3756 0.8733 0.3756
0.8733 0.3756 0.3756
0.0000 0.0000 0.0000
0.7500 0.7500 0.7500
```

An optimized crystal structure of YMg2AgH. Source: Alexandria, functional PBE.

magnetic moment: 0.00 μB per atom
uncorrected energy: -3.363 eV per atom
space group: P4/mmm (123)

Geometry as POSCAR:
```
YMg2AgH
1.0
4.5063 0.0000 0.0000
0.0000 4.5063 0.0000
0.0000 0.0000 4.5478
Y Mg Ag H
1 2 1 1
Direct
0.0000 0.0000 0.0000
0.0000 0.5000 0.5000
0.5000 0.0000 0.5000
0.5000 0.5000 0.0000
0.0000 0.0000 0.5000
```

An optimized crystal structure of ZrTaBr2. Source: Alexandria, functional PBE.

magnetic moment: 0.00 μB per atom
formation energy from raw total energies: 189 meV per atom
distance to the lowest polymorph of the same formula: 285 kJ/mol of formula units
space group: I-42d (122)

Geometry as POSCAR:
```
ZrTaBr2
1.0
-2.2437 2.2437 8.9186
2.2437 -2.2437 8.9186
2.2437 2.2437 -8.9186
Zr Ta Br
2 2 4
Direct
0.0000 0.0000 0.0000
0.7500 0.2500 0.5000
0.2500 0.7500 0.5000
0.5000 0.5000 0.0000
0.1324 0.6250 0.0074
0.3750 0.3824 0.5074
0.6176 0.1250 0.9926
0.8750 0.8676 0.4926
```

Taking the records one at a time from the top gives Fermi-level density of states values of 1.151; 1.318; 0.509; 0.388; 1.095; 0.528; 1.107; 0.415; 0.519; 0.560; 0.377; 1.659; 0.518; 1.065; 1.267; 0.819; 1.641; 1.899; 0.504; 1.241 states/eV/atom.